# 1
# Th2RuI PBE-GGA relaxed
# ΔE to the lowest computed polymorph	0.011	eV/atom
# crystal system	trigonal
# N(E_F)	11.04	states/eV per cell
# M_tot	0.00	μB/cell
# raw formation energy	-69	kJ per mole of atoms
data_Th2RuI
_chemical_formula_sum 'Th6 Ru3 I3'
_space_group_name_H-M_alt 'R 3 m'
_space_group_IT_number 160
_space_group_name_Hall 'R 3 -2"'
_cell_length_a 4.1647
_cell_length_b 4.1647
_cell_length_c 24.9353
_cell_angle_alpha 90.00
_cell_angle_beta 90.00
_cell_angle_gamma 120.00
loop_
_atom_site_label
_atom_site_type_symbol
_atom_site_fract_x
_atom_site_fract_y
_atom_site_fract_z
Th1 Th 0.0000 0.0000 0.0000
Th2 Th 0.0000 0.0000 0.2156
Ru1 Ru 0.0000 0.0000 0.6084
I1 I 0.0000 0.0000 0.4392


# 2
# Th4RuI5 PBE-GGA relaxed
# crystal system	monoclinic
# N(E_F)	11.27	states/eV per cell
# M_tot	0.00	μB/cell
# raw formation energy	-88	kJ per mole of atoms
data_Th4RuI5
_chemical_formula_sum 'Th8 Ru2 I10'
_space_group_name_H-M_alt 'C 1 2/m 1'
_space_group_IT_number 12
_space_group_name_Hall '-C 2y'
_cell_length_a 18.9144
_cell_length_b 3.9700
_cell_length_c 9.4405
_cell_angle_alpha 90.00
_cell_angle_beta 98.88
_cell_angle_gamma 90.00
loop_
_atom_site_label
_atom_site_type_symbol
_atom_site_fract_x
_atom_site_fract_y
_atom_site_fract_z
Th1 Th 0.0008 0.0000 0.1975
Th2 Th 0.1681 0.5000 0.0489
Ru1 Ru 0.0000 0.5000 0.0000
I1 I 0.0000 0.5000 0.5000
I2 I 0.1678 0.0000 0.3249
I3 I 0.1680 0.0000 0.7744


# 3
# YThRuI PBE-GGA relaxed
# crystal system	trigonal
# N(E_F)	2.20	states/eV per cell
# M_tot	0.00	μB/cell
# raw formation energy	-69	kJ per mole of atoms
data_YThRuI
_chemical_formula_sum 'Y3 Th3 Ru3 I3'
_space_group_name_H-M_alt 'R 3 m'
_space_group_IT_number 160
_space_group_name_Hall 'R 3 -2"'
_cell_length_a 4.1123
_cell_length_b 4.1123
_cell_length_c 24.4647
_cell_angle_alpha 90.00
_cell_angle_beta 90.00
_cell_angle_gamma 120.00
loop_
_atom_site_label
_atom_site_type_symbol
_atom_site_fract_x
_atom_site_fract_y
_atom_site_fract_z
Y1 Y 0.0000 0.0000 0.0000
Th1 Th 0.0000 0.0000 0.2137
Ru1 Ru 0.0000 0.0000 0.6020
I1 I 0.0000 0.0000 0.7684


# 4
# TiRu2I PBE-GGA relaxed
# ΔE to the lowest computed polymorph	0.145	eV/atom
# crystal system	tetragonal
# N(E_F)	19.17	states/eV per cell
# M_tot	0.00	μB/cell
# raw formation energy	58	kJ per mole of atoms
data_TiRu2I
_chemical_formula_sum 'Ti4 Ru8 I4'
_space_group_name_H-M_alt 'I -4 2 d'
_space_group_IT_number 122
_space_group_name_Hall 'I -4 2bw'
_cell_length_a 4.1944
_cell_length_b 4.1944
_cell_length_c 16.8650
_cell_angle_alpha 90.00
_cell_angle_beta 90.00
_cell_angle_gamma 90.00
loop_
_atom_site_label
_atom_site_type_symbol
_atom_site_fract_x
_atom_site_fract_y
_atom_site_fract_z
Ti1 Ti 0.0000 0.0000 0.0000
Ru1 Ru 0.2289 0.2500 0.1250
I1 I 0.0000 0.0000 0.5000


# 5
# TiRuI3 PBE-GGA relaxed
# crystal system	cubic
# N(E_F)	15.50	states/eV per cell
# M_tot	0.07	μB/cell
# raw formation energy	76	kJ per mole of atoms
data_TiRuI3
_chemical_formula_sum 'Ti1 Ru1 I3'
_space_group_name_H-M_alt 'P m -3 m'
_space_group_IT_number 221
_space_group_name_Hall '-P 4 2 3'
_cell_length_a 5.3390
_cell_length_b 5.3390
_cell_length_c 5.3390
_cell_angle_alpha 90.00
_cell_angle_beta 90.00
_cell_angle_gamma 90.00
loop_
_atom_site_label
_atom_site_type_symbol
_atom_site_fract_x
_atom_site_fract_y
_atom_site_fract_z
Ti1 Ti 0.0000 0.0000 0.0000
Ru1 Ru 0.5000 0.5000 0.5000
I1 I 0.0000 0.5000 0.5000


# 6
# Ti3RuI PBE-GGA relaxed
# ΔE to the lowest computed polymorph	0.000	eV/atom
# crystal system	cubic
# N(E_F)	5.18	states/eV per cell
# M_tot	0.00	μB/cell
# raw formation energy	36	kJ per mole of atoms
data_Ti3RuI
_chemical_formula_sum 'Ti3 Ru1 I1'
_space_group_name_H-M_alt 'P m -3 m'
_space_group_IT_number 221
_space_group_name_Hall '-P 4 2 3'
_cell_length_a 4.7923
_cell_length_b 4.7923
_cell_length_c 4.7923
_cell_angle_alpha 90.00
_cell_angle_beta 90.00
_cell_angle_gamma 90.00
loop_
_atom_site_label
_atom_site_type_symbol
_atom_site_fract_x
_atom_site_fract_y
_atom_site_fract_z
Ti1 Ti 0.0000 0.0000 0.5000
Ru1 Ru 0.0000 0.0000 0.0000
I1 I 0.5000 0.5000 0.5000


Let's list VASP energy in order: -85.528 -111.706 -82.649 -102.295 -17.871 -32.621 eV for the cell shown.